[1]
VASP calculation (PBE) on a relaxed NaTl6Sn3 crystal.

Cell lengths 6.232, 9.552, 11.892 Å; angles 90.00, 116.91, 90.00 degrees
Sites, in units of the cell vectors:
Na: 0.000 0.000 0.000
Na: 0.000 0.500 0.500
Tl: 0.111 0.164 0.571
Tl: 0.111 0.336 0.071
Tl: 0.162 0.707 0.752
Tl: 0.162 0.793 0.252
Tl: 0.444 0.170 0.929
Tl: 0.444 0.330 0.429
Tl: 0.556 0.670 0.571
Tl: 0.556 0.830 0.071
Tl: 0.838 0.207 0.748
Tl: 0.838 0.293 0.248
Tl: 0.889 0.664 0.929
Tl: 0.889 0.836 0.429
Sn: 0.485 0.067 0.244
Sn: 0.485 0.433 0.744
Sn: 0.500 0.000 0.500
Sn: 0.500 0.500 0.000
Sn: 0.515 0.567 0.256
Sn: 0.515 0.933 0.756

Summary:
DFT total energy ... -2.720 eV per atom
E_form ... 0.03 eV per atom
D(E_F) ... 10.1 states/eV/cell

=====

[2]
VASP calculation (PBE) on a relaxed Hf5ScN3 crystal.

Cell lengths 6.264, 6.264, 8.248 Å; angles 110.49, 110.49, 73.95 degrees
Sites, in units of the cell vectors:
Hf: 0.068 0.068 0.363
Hf: 0.131 0.539 0.336
Hf: 0.205 0.795 0.000
Hf: 0.262 0.262 0.967
Hf: 0.461 0.869 0.664
Hf: 0.539 0.131 0.336
Hf: 0.738 0.738 0.033
Hf: 0.795 0.205 0.000
Hf: 0.869 0.461 0.664
Hf: 0.932 0.932 0.637
Sc: 0.399 0.399 0.696
Sc: 0.601 0.601 0.304
N: 0.166 0.166 0.666
N: 0.167 0.167 0.168
N: 0.500 0.500 0.000
N: 0.500 0.500 0.500
N: 0.833 0.833 0.832
N: 0.834 0.834 0.334

Summary:
Energy relative to the elements, uncorrected ... -1.244 eV/atom
DFT total energy ... -10.252 eV per atom
D(E_F) ... 8.3 states/eV/cell

=====

[3]
VASP calculation (PBE) on a relaxed Rb3Zn2P2 crystal.

Cell lengths 6.513, 9.932, 13.120 Å; angles 90.00, 90.00, 90.00 degrees
Sites, in units of the cell vectors:
Rb: 0.128 0.174 0.114
Rb: 0.128 0.174 0.386
Rb: 0.128 0.326 0.614
Rb: 0.128 0.326 0.886
Rb: 0.315 0.671 0.750
Rb: 0.315 0.829 0.250
Rb: 0.685 0.171 0.750
Rb: 0.685 0.329 0.250
Rb: 0.872 0.674 0.114
Rb: 0.872 0.674 0.386
Rb: 0.872 0.826 0.614
Rb: 0.872 0.826 0.886
Zn: 0.375 0.537 0.085
Zn: 0.375 0.537 0.415
Zn: 0.375 0.963 0.585
Zn: 0.375 0.963 0.915
Zn: 0.625 0.037 0.085
Zn: 0.625 0.037 0.415
Zn: 0.625 0.463 0.585
Zn: 0.625 0.463 0.915
P: 0.227 0.019 0.750
P: 0.227 0.481 0.250
P: 0.395 0.750 0.000
P: 0.395 0.750 0.500
P: 0.605 0.250 0.000
P: 0.605 0.250 0.500
P: 0.773 0.519 0.750
P: 0.773 0.981 0.250

Summary:
DFT total energy ... -2.476 eV per atom
E_form ... -0.15 eV per atom
D(E_F) ... 2.6 states/eV/cell

=====

[4]
VASP calculation (PBE) on a relaxed Co2HRuW crystal.

Cell lengths 3.674, 3.674, 3.913 Å; angles 90.00, 90.00, 90.00 degrees
Sites, in units of the cell vectors:
Co: 0.000 0.500 0.000
Co: 0.500 0.000 0.000
H: 0.000 0.000 0.000
Ru: 0.500 0.500 0.500
W: 0.000 0.000 0.500

Summary:
DFT total energy ... -7.909 eV per atom
Polymorph energy (0 for the lowest one) ... 67 meV per atom
D(E_F) ... 4.1 states/eV/cell

=====

[5]
VASP calculation (PBE) on a relaxed SmDy4Sc4 crystal.

Cell lengths 7.668, 7.668, 7.668 Å; angles 95.67, 95.67, 143.35 degrees
Sites, in units of the cell vectors:
Sm: 0.000 0.000 0.000
Dy: 0.000 0.329 0.329
Dy: 0.000 0.671 0.671
Dy: 0.329 0.000 0.329
Dy: 0.671 0.000 0.671
Sc: 0.333 0.333 0.665
Sc: 0.333 0.667 0.000
Sc: 0.667 0.333 0.000
Sc: 0.667 0.667 0.335

Summary:
DFT total energy ... -5.330 eV per atom
E_form ... 0.05 eV per atom
D(E_F) ... 13.3 states/eV/cell